1.
A plane-wave DFT calculation with PBE-GGA was carried out for Ba2Na2Hg after structural relaxation.

**Energy relative to the elements**: -0.149 eV per atom
**Space group**: No. 139
**Energy relative to the lowest polymorph listed for this composition**: 88 meV/atom
**E**: -1.5057 eV/atom
**Crystal system**: tetragonal

a = 4.388 Å, b = 4.388 Å, c = 11.500 Å
α = 79.00°, β = 79.00°, γ = 90.00°
Atoms (fractional coordinates):
Na 0.750 0.250 0.500
Na 0.250 0.750 0.500
Hg 0.000 0.000 0.000
Ba 0.411 0.411 0.177
Ba 0.589 0.589 0.823

2.
A plane-wave DFT calculation with PBE-GGA was carried out for HgI after structural relaxation.

**Space group**: No. 194
**Energy relative to the lowest polymorph listed for this composition**: 87 meV/atom
**E**: -1.0805 eV/atom
**Crystal system**: hexagonal
**Formation energy without anion corrections**: -0.154 eV/atom

a = 6.620 Å, b = 6.620 Å, c = 5.764 Å
α = 90.00°, β = 90.00°, γ = 120.00°
Atoms (fractional coordinates):
Hg 0.333 0.667 0.750
Hg 0.667 0.333 0.250
I 0.333 0.667 0.250
I 0.667 0.333 0.750

3.
A plane-wave DFT calculation with PBE-GGA was carried out for GaBi2Se after structural relaxation.

**Space group**: No. 225
**Energy relative to the lowest polymorph listed for this composition**: 0 meV/atom
**E**: -3.4579 eV/atom
**Crystal system**: cubic
**Formation energy without anion corrections**: 0.110 eV/atom

a = 5.267 Å, b = 5.267 Å, c = 5.267 Å
α = 60.00°, β = 60.00°, γ = 60.00°
Atoms (fractional coordinates):
Ga 0.000 0.000 0.000
Bi 0.250 0.250 0.250
Bi 0.750 0.750 0.750
Se 0.500 0.500 0.500

4.
A plane-wave DFT calculation with PBE-GGA was carried out for CeScAlTc after structural relaxation.

**Energy relative to the elements**: -0.206 eV per atom
**Space group**: No. 216
**E**: -6.7997 eV/atom
**Crystal system**: cubic

a = 4.857 Å, b = 4.857 Å, c = 4.857 Å
α = 60.00°, β = 60.00°, γ = 60.00°
Atoms (fractional coordinates):
Sc 0.000 0.000 0.000
Tc 0.250 0.250 0.250
Ce 0.500 0.500 0.500
Al 0.750 0.750 0.750

5.
A plane-wave DFT calculation with PBE-GGA was carried out for MgCoRu after structural relaxation.

**Energy relative to the elements**: 0.118 eV per atom
**Space group**: No. 70
**Energy relative to the lowest polymorph listed for this composition**: 18 meV/atom
**E**: -5.8737 eV/atom
**Crystal system**: orthorhombic

a = 4.836 Å, b = 4.764 Å, c = 8.837 Å
α = 82.02°, β = 74.12°, γ = 59.50°
Atoms (fractional coordinates):
Mg 0.172 0.500 0.656
Mg 0.328 0.500 0.344
Mg 0.578 0.000 0.844
Mg 0.422 0.000 0.156
Co 0.626 0.500 0.748
Co 0.874 0.500 0.252
Co 0.124 0.000 0.752
Co 0.876 0.000 0.248
Ru 0.919 0.163 0.500
Ru 0.581 0.837 0.500
Ru 0.831 0.337 0.000
Ru 0.169 0.663 0.000

6.
A plane-wave DFT calculation with PBE-GGA was carried out for ZrCdBi2P after structural relaxation.

**Energy relative to the elements**: 0.929 eV per atom
**Space group**: No. 123
**E**: -3.5977 eV/atom
**Crystal system**: tetragonal

a = 5.618 Å, b = 4.746 Å, c = 5.618 Å
α = 90.00°, β = 90.00°, γ = 90.00°
Atoms (fractional coordinates):
P 0.000 0.500 0.000
Bi 0.000 0.000 0.500
Bi 0.500 0.000 0.000
Zr 0.500 0.500 0.500
Cd 0.000 0.000 0.000

7.
A plane-wave DFT calculation with PBE-GGA was carried out for NiPtAu2 after structural relaxation.

**Energy relative to the elements**: 0.097 eV per atom
**Space group**: No. 123
**Energy relative to the lowest polymorph listed for this composition**: 79 meV/atom
**E**: -4.4968 eV/atom
**Crystal system**: tetragonal

a = 3.983 Å, b = 3.985 Å, c = 3.985 Å
α = 90.00°, β = 90.00°, γ = 90.00°
Atoms (fractional coordinates):
Au 0.000 0.000 0.000
Au 0.000 0.500 0.500
Ni 0.500 0.500 0.000
Pt 0.500 0.000 0.500

8.
A plane-wave DFT calculation with PBE-GGA was carried out for U4Co7Ge6 after structural relaxation.

**Energy relative to the elements**: -0.277 eV per atom
**Space group**: No. 229
**E**: -7.4886 eV/atom
**Crystal system**: cubic

a = 7.037 Å, b = 7.037 Å, c = 7.037 Å
α = 109.47°, β = 109.47°, γ = 109.47°
Atoms (fractional coordinates):
U 0.500 0.000 0.000
U 0.500 0.500 0.500
U 0.000 0.500 0.000
U 0.000 0.000 0.500
Co 0.750 0.500 0.250
Co 0.250 0.750 0.500
Co 0.500 0.750 0.250
Co 0.750 0.250 0.500
Co 0.250 0.500 0.750
Co 0.500 0.250 0.750
Co 0.000 0.000 0.000
Ge 0.683 0.000 0.683
Ge 0.683 0.683 0.000
Ge 0.000 0.317 0.317
Ge 0.317 0.000 0.317
Ge 0.317 0.317 0.000
Ge 0.000 0.683 0.683

9.
A plane-wave DFT calculation with PBE-GGA was carried out for Sr3Li6Hg5 after structural relaxation.

**Energy relative to the elements**: -0.355 eV per atom
**Space group**: No. 59
**E**: -1.6433 eV/atom
**Crystal system**: orthorhombic

a = 4.708 Å, b = 10.653 Å, c = 13.996 Å
α = 90.00°, β = 90.00°, γ = 90.00°
Atoms (fractional coordinates):
Sr 0.000 0.250 0.688
Sr 0.500 0.750 0.188
Sr 0.500 0.750 0.812
Sr 0.000 0.258 0.000
Sr 0.500 0.742 0.500
Sr 0.000 0.250 0.312
Li 0.000 0.981 0.853
Li 0.500 0.019 0.647
Li 0.500 0.411 0.818
Li 0.500 0.550 0.000
Li 0.000 0.450 0.500
Li 0.000 0.589 0.682
Li 0.000 0.589 0.318
Li 0.500 0.966 0.000
Li 0.000 0.981 0.147
Li 0.500 0.411 0.182
Li 0.000 0.034 0.500
Li 0.500 0.019 0.353
Hg 0.000 0.533 0.880
Hg 0.000 0.870 0.661
Hg 0.000 0.794 0.000
Hg 0.500 0.467 0.620
Hg 0.500 0.206 0.500
Hg 0.000 0.533 0.120
Hg 0.500 0.467 0.380
Hg 0.000 0.870 0.339
Hg 0.500 0.130 0.839
Hg 0.500 0.130 0.161

10.
A plane-wave DFT calculation with PBE-GGA was carried out for NiPt2Br after structural relaxation.

**Space group**: No. 123
**Energy relative to the lowest polymorph listed for this composition**: 107 meV/atom
**E**: -4.4885 eV/atom
**Crystal system**: tetragonal
**Formation energy without anion corrections**: 0.395 eV/atom

a = 3.035 Å, b = 3.035 Å, c = 7.204 Å
α = 90.00°, β = 90.00°, γ = 90.00°
Atoms (fractional coordinates):
Br 0.500 0.500 0.250
Ni 0.500 0.500 0.750
Pt 0.000 0.000 0.950
Pt 0.000 0.000 0.550

11.
A plane-wave DFT calculation with PBE-GGA was carried out for VIrRu2 after structural relaxation.

**Energy relative to the elements**: 0.386 eV per atom
**Space group**: No. 122
**Energy relative to the lowest polymorph listed for this composition**: 669 meV/atom
**E**: -8.7472 eV/atom
**Crystal system**: tetragonal

a = 3.741 Å, b = 3.741 Å, c = 9.127 Å
α = 78.17°, β = 78.17°, γ = 90.00°
Atoms (fractional coordinates):
Ru 0.606 0.125 0.250
Ru 0.144 0.625 0.250
Ru 0.375 0.394 0.750
Ru 0.875 0.856 0.750
Ir 0.000 0.000 0.000
Ir 0.750 0.250 0.500
V 0.500 0.500 0.000
V 0.250 0.750 0.500

12.
A plane-wave DFT calculation with PBE-GGA was carried out for AlCrPt after structural relaxation.

**Energy relative to the elements**: -0.339 eV per atom
**Space group**: No. 44
**E**: -6.8083 eV/atom
**Crystal system**: orthorhombic

a = 4.805 Å, b = 4.805 Å, c = 4.805 Å
α = 145.32°, β = 133.95°, γ = 58.91°
Atoms (fractional coordinates):
Cr 0.666 0.666 0.000
Al 0.996 0.996 0.000
Pt 0.338 0.338 0.000

- E of number 7 (NiPtAu2)?
  -4.4968 eV/atom